The following is a DFT calculation (PBE) of a relaxed CsPaTe3Au crystal.

CIF file:
```
data_CsPaTe3Au
_chemical_formula_sum 'Cs2 Pa2 Te6 Au2'
_cell_length_a 10.0035
_cell_length_b 4.4871
_cell_length_c 11.1408
_cell_angle_alpha 90.00
_cell_angle_beta 112.71
_cell_angle_gamma 90.00
_symmetry_space_group_name_H-M 'P 1'
_symmetry_Int_Tables_number 1
loop_
_symmetry_equiv_pos_as_xyz
'x,y,z'
loop_
_atom_site_label
_atom_site_fract_x
_atom_site_fract_y
_atom_site_fract_z
Cs1 0.2261 0.2500 0.2680
Cs2 0.7739 0.7500 0.7320
Pa1 0.3137 0.7500 0.8427
Pa2 0.6863 0.2500 0.1573
Te1 0.1153 0.2500 0.8770
Te2 0.2181 0.7500 0.5480
Te3 0.4639 0.7500 0.1463
Te4 0.5361 0.2500 0.8537
Te5 0.7819 0.2500 0.4520
Te6 0.8847 0.7500 0.1230
Au1 0.1090 0.2500 0.6281
Au2 0.8910 0.7500 0.3719
```

Summary:
As for the uncorrected formation energy: -0.8009 eV/atom. Its space group is P2_1/m, No. 11. As for the density of states at the Fermi level: 0.91 states/eV/atom. As for the total energy: -55.71 eV for the cell shown.


The following is a DFT calculation (PBE) of a relaxed MnSb crystal.

CIF file:
```
data_MnSb
_chemical_formula_sum 'Mn6 Sb6'
_cell_length_a 9.6846
_cell_length_b 9.6846
_cell_length_c 3.7061
_cell_angle_alpha 90.00
_cell_angle_beta 90.00
_cell_angle_gamma 120.00
_symmetry_space_group_name_H-M 'P 1'
_symmetry_Int_Tables_number 1
loop_
_symmetry_equiv_pos_as_xyz
'x,y,z'
loop_
_atom_site_label
_atom_site_fract_x
_atom_site_fract_y
_atom_site_fract_z
Mn1 0.0036 0.4458 0.2500
Mn2 0.4422 0.9964 0.2500
Mn3 0.4458 0.4422 0.7500
Mn4 0.5542 0.5578 0.2500
Mn5 0.5578 0.0036 0.7500
Mn6 0.9964 0.5542 0.7500
Sb1 0.1719 0.7594 0.2500
Sb2 0.2406 0.4126 0.2500
Sb3 0.4126 0.1719 0.7500
Sb4 0.5874 0.8281 0.2500
Sb5 0.7594 0.5874 0.7500
Sb6 0.8281 0.2406 0.7500
```

Summary:
As for the uncorrected formation energy: 0.4222 eV/atom. Its space group is P6_3/m, No. 176. As for the density of states at the Fermi level: 0.96 states/eV/atom. As for the total energy: -74.68 eV for the cell shown.


The following is a DFT calculation (PBE) of a relaxed CoHgI2Cl crystal.

CIF file:
```
data_CoHgI2Cl
_chemical_formula_sum 'Co1 Hg1 I2 Cl1'
_cell_length_a 5.9828
_cell_length_b 5.9828
_cell_length_c 5.0716
_cell_angle_alpha 90.00
_cell_angle_beta 90.00
_cell_angle_gamma 90.00
_symmetry_space_group_name_H-M 'P 1'
_symmetry_Int_Tables_number 1
loop_
_symmetry_equiv_pos_as_xyz
'x,y,z'
loop_
_atom_site_label
_atom_site_fract_x
_atom_site_fract_y
_atom_site_fract_z
Co1 0.0000 0.0000 0.0000
Hg1 0.5000 0.5000 0.5000
I1 0.0000 0.5000 0.5000
I2 0.5000 0.0000 0.5000
Cl1 0.5000 0.5000 0.0000
```

Summary:
As for the uncorrected formation energy: 0.6070 eV/atom. Its space group is P4/mmm, No. 123. As for the density of states at the Fermi level: 1.97 states/eV/atom. As for the total energy: -9.32 eV for the cell shown.


The following is a DFT calculation (PBE) of a relaxed Pu2ThPdS4 crystal.

CIF file:
```
data_Pu2ThPdS4
_chemical_formula_sum 'Pu2 Th1 Pd1 S4'
_cell_length_a 5.9309
_cell_length_b 5.9309
_cell_length_c 5.9309
_cell_angle_alpha 108.61
_cell_angle_beta 108.61
_cell_angle_gamma 111.20
_symmetry_space_group_name_H-M 'P 1'
_symmetry_Int_Tables_number 1
loop_
_symmetry_equiv_pos_as_xyz
'x,y,z'
loop_
_atom_site_label
_atom_site_fract_x
_atom_site_fract_y
_atom_site_fract_z
Pu1 0.0000 0.5000 0.5000
Pu2 0.5000 0.0000 0.5000
Th1 0.0000 0.0000 0.0000
Pd1 0.5000 0.5000 0.0000
S1 0.0808 0.0808 0.5758
S2 0.4950 0.9192 0.0000
S3 0.5050 0.5050 0.4242
S4 0.9192 0.4950 0.0000
```

Summary:
As for the uncorrected formation energy: -1.3640 eV/atom. Its space group is I-42m, No. 121. As for the density of states at the Fermi level: 1.86 states/eV/atom. As for the total energy: -68.70 eV for the cell shown.


The following is a DFT calculation (PBE) of a relaxed Mg3Sc4Co crystal.

CIF file:
```
data_Mg3Sc4Co
_chemical_formula_sum 'Mg3 Sc4 Co1'
_cell_length_a 3.2117
_cell_length_b 3.2117
_cell_length_c 16.5640
_cell_angle_alpha 90.00
_cell_angle_beta 90.00
_cell_angle_gamma 90.00
_symmetry_space_group_name_H-M 'P 1'
_symmetry_Int_Tables_number 1
loop_
_symmetry_equiv_pos_as_xyz
'x,y,z'
loop_
_atom_site_label
_atom_site_fract_x
_atom_site_fract_y
_atom_site_fract_z
Mg1 0.0000 0.0000 0.0000
Mg2 0.0000 0.0000 0.2688
Mg3 0.0000 0.0000 0.7312
Sc1 0.5000 0.5000 0.1358
Sc2 0.5000 0.5000 0.4094
Sc3 0.5000 0.5000 0.5906
Sc4 0.5000 0.5000 0.8642
Co1 0.0000 0.0000 0.5000
```

Summary:
The calculation puts the energy of formation from the pure elements at -1.0 eV/f.u. Its space group is P4/mmm, No. 123. As for the density of states at the Fermi level: 0.81 states/eV/atom. As for the total energy: -38.22 eV for the cell shown.


The following is a DFT calculation (PBE) of a relaxed LaSmHo2Tm5 crystal.

CIF file:
```
data_LaSmHo2Tm5
_chemical_formula_sum 'La2 Sm2 Ho4 Tm10'
_cell_length_a 9.6815
_cell_length_b 9.6815
_cell_length_c 9.6815
_cell_angle_alpha 125.57
_cell_angle_beta 125.57
_cell_angle_gamma 80.60
_symmetry_space_group_name_H-M 'P 1'
_symmetry_Int_Tables_number 1
loop_
_symmetry_equiv_pos_as_xyz
'x,y,z'
loop_
_atom_site_label
_atom_site_fract_x
_atom_site_fract_y
_atom_site_fract_z
La1 0.2500 0.2500 0.0000
La2 0.7500 0.7500 0.0000
Sm1 0.2500 0.7500 0.5000
Sm2 0.7500 0.2500 0.5000
Ho1 0.1137 0.6137 0.7274
Ho2 0.3863 0.1137 0.5000
Ho3 0.6137 0.8863 0.5000
Ho4 0.8863 0.3863 0.2726
Tm1 0.0000 0.0000 0.0000
Tm2 0.0738 0.1656 0.5000
Tm3 0.1656 0.6656 0.0919
Tm4 0.3344 0.4262 0.5000
Tm5 0.4262 0.9262 0.0919
Tm6 0.5000 0.5000 0.0000
Tm7 0.5738 0.0738 0.9081
Tm8 0.6656 0.5738 0.5000
Tm9 0.8344 0.3344 0.9081
Tm10 0.9262 0.8344 0.5000
```

Summary:
The calculation puts the energy of formation from the pure elements at 2.5 eV/f.u. Its space group is I4/mcm, No. 140. As for the density of states at the Fermi level: 1.28 states/eV/atom. As for the total energy: -77.28 eV for the cell shown.


The following is a DFT calculation (PBE) of a relaxed La2ZnAs crystal.

CIF file:
```
data_La2ZnAs
_chemical_formula_sum 'La2 Zn1 As1'
_cell_length_a 5.2726
_cell_length_b 5.2726
_cell_length_c 5.2726
_cell_angle_alpha 60.00
_cell_angle_beta 60.00
_cell_angle_gamma 60.00
_symmetry_space_group_name_H-M 'P 1'
_symmetry_Int_Tables_number 1
loop_
_symmetry_equiv_pos_as_xyz
'x,y,z'
loop_
_atom_site_label
_atom_site_fract_x
_atom_site_fract_y
_atom_site_fract_z
La1 0.2500 0.2500 0.2500
La2 0.7500 0.7500 0.7500
Zn1 0.0000 0.0000 0.0000
As1 0.5000 0.5000 0.5000
```

Summary:
The calculation puts the energy of formation from the pure elements at -2.8 eV/f.u. Its space group is Fm-3m, No. 225. As for the density of states at the Fermi level: 0.65 states/eV/atom. As for the total energy: -18.60 eV for the cell shown.


The following is a DFT calculation (PBE) of a relaxed Ca2AlTlO5 crystal.

CIF file:
```
data_Ca2AlTlO5
_chemical_formula_sum 'Ca4 Al2 Tl2 O10'
_cell_length_a 8.1337
_cell_length_b 8.1337
_cell_length_c 9.3657
_cell_angle_alpha 90.00
_cell_angle_beta 90.00
_cell_angle_gamma 157.11
_symmetry_space_group_name_H-M 'P 1'
_symmetry_Int_Tables_number 1
loop_
_symmetry_equiv_pos_as_xyz
'x,y,z'
loop_
_atom_site_label
_atom_site_fract_x
_atom_site_fract_y
_atom_site_fract_z
Ca1 0.0959 0.9041 0.5000
Ca2 0.1060 0.8940 0.1236
Ca3 0.8940 0.1060 0.6236
Ca4 0.9041 0.0959 0.0000
Al1 0.4463 0.5537 0.2791
Al2 0.5537 0.4463 0.7791
Tl1 0.2265 0.7735 0.8398
Tl2 0.7735 0.2265 0.3398
O1 0.0361 0.9639 0.8601
O2 0.3069 0.6931 0.5012
O3 0.3411 0.6589 0.2001
O4 0.3628 0.6372 0.8265
O5 0.4979 0.5021 0.1116
O6 0.5021 0.4979 0.6116
O7 0.6372 0.3628 0.3265
O8 0.6589 0.3411 0.7001
O9 0.6931 0.3069 0.0012
O10 0.9639 0.0361 0.3601
```

Summary:
As for the uncorrected formation energy: -2.2950 eV/atom. Its space group is Cmc2_1, No. 36. As for the total energy: -111.12 eV for the cell shown.


The following is a DFT calculation (PBE) of a relaxed ReNiIr2 crystal.

CIF file:
```
data_ReNiIr2
_chemical_formula_sum 'Re1 Ni1 Ir2'
_cell_length_a 2.7104
_cell_length_b 2.7104
_cell_length_c 7.4977
_cell_angle_alpha 90.00
_cell_angle_beta 90.00
_cell_angle_gamma 90.00
_symmetry_space_group_name_H-M 'P 1'
_symmetry_Int_Tables_number 1
loop_
_symmetry_equiv_pos_as_xyz
'x,y,z'
loop_
_atom_site_label
_atom_site_fract_x
_atom_site_fract_y
_atom_site_fract_z
Re1 0.0000 0.0000 0.0000
Ni1 0.5000 0.5000 0.7637
Ir1 0.0000 0.0000 0.5240
Ir2 0.5000 0.5000 0.2602
```

Summary:
The calculation puts the energy of formation from the pure elements at 0.0 eV/f.u. Its space group is P4mm, No. 99. As for the density of states at the Fermi level: 1.36 states/eV/atom. As for the total energy: -35.95 eV for the cell shown.


The following is a DFT calculation (PBE) of a relaxed La8Nd2Dy3 crystal.

CIF file:
```
data_La8Nd2Dy3
_chemical_formula_sum 'La8 Nd2 Dy3'
_cell_length_a 11.1316
_cell_length_b 11.1316
_cell_length_c 5.8434
_cell_angle_alpha 90.03
_cell_angle_beta 90.03
_cell_angle_gamma 40.74
_symmetry_space_group_name_H-M 'P 1'
_symmetry_Int_Tables_number 1
loop_
_symmetry_equiv_pos_as_xyz
'x,y,z'
loop_
_atom_site_label
_atom_site_fract_x
_atom_site_fract_y
_atom_site_fract_z
La1 0.0971 0.6965 0.0000
La2 0.1732 0.1732 0.5004
La3 0.3035 0.9029 0.0000
La4 0.3692 0.3692 0.5003
La5 0.6308 0.6308 0.4997
La6 0.6965 0.0971 0.0000
La7 0.8268 0.8268 0.4996
La8 0.9029 0.3035 0.0000
Nd1 0.2594 0.2594 0.0006
Nd2 0.7406 0.7406 0.9994
Dy1 0.2186 0.7814 0.5000
Dy2 0.5000 0.5000 0.0000
Dy3 0.7814 0.2186 0.5000
```

Summary:
The calculation puts the energy of formation from the pure elements at 2.2 eV/f.u. Its space group is C2/m, No. 12. As for the density of states at the Fermi level: 1.38 states/eV/atom. As for the total energy: -60.52 eV for the cell shown.


The following is a DFT calculation (PBE) of a relaxed CsAgBr3 crystal.

CIF file:
```
data_CsAgBr3
_chemical_formula_sum 'Cs2 Ag2 Br6'
_cell_length_a 13.6613
_cell_length_b 13.6613
_cell_length_c 13.6613
_cell_angle_alpha 155.56
_cell_angle_beta 155.56
_cell_angle_gamma 34.84
_symmetry_space_group_name_H-M 'P 1'
_symmetry_Int_Tables_number 1
loop_
_symmetry_equiv_pos_as_xyz
'x,y,z'
loop_
_atom_site_label
_atom_site_fract_x
_atom_site_fract_y
_atom_site_fract_z
Cs1 0.0914 0.0914 0.0000
Cs2 0.9086 0.9086 0.0000
Ag1 0.5000 0.5000 0.0000
Ag2 0.7500 0.2500 0.5000
Br1 0.0039 0.5039 0.5000
Br2 0.0925 0.3355 0.7570
Br3 0.4961 0.9961 0.5000
Br4 0.5785 0.3355 0.2430
Br5 0.6645 0.4215 0.7570
Br6 0.6645 0.9075 0.2430
```

Summary:
As for the uncorrected formation energy: -0.8067 eV/atom. Its space group is I-4m2, No. 119. As for the density of states at the Fermi level: 0.16 states/eV/atom. As for the total energy: -25.51 eV for the cell shown.


Q: Number 8 is which compound?
A: Ca2AlTlO5